# 1
A plane-wave DFT calculation with GGA-PBE was carried out for a relaxed HgTe2IF crystal.

Magnetic moment: 0.00 μB/cell
Energy relative to the elements, uncorrected: -0.286 eV per formula unit
Raw total energy: -2.06 eV/atom
Symmetry: P4/mmm, No. 123

POSCAR file:
```
HgTe2IF
1.0
4.6529 0.0000 0.0000
0.0000 4.6529 0.0000
0.0000 0.0000 7.9487
Hg Te I F
1 2 1 1
direct
0.0000 0.0000 0.0000
0.0000 0.5000 0.5000
0.5000 0.0000 0.5000
0.5000 0.5000 0.0000
0.5000 0.5000 0.5000
```


# 2
A plane-wave DFT calculation with GGA-PBE was carried out for a relaxed HgTe2IF crystal.

Magnetic moment: 2.86 μB/cell
Energy relative to the elements, uncorrected: 2.032 eV per formula unit
Raw total energy: -1.59 eV/atom
Symmetry: P4/mmm, No. 123

POSCAR file:
```
HgTe2IF
1.0
5.7152 0.0000 0.0000
0.0000 5.7152 0.0000
0.0000 0.0000 5.8618
Hg Te I F
1 2 1 1
direct
0.0000 0.0000 0.0000
0.0000 0.5000 0.0000
0.5000 0.0000 0.0000
0.0000 0.0000 0.5000
0.5000 0.5000 0.5000
```


Q: The lowest magnetic moment belongs to which entry?
A: number 1